Record 1
The following is a PBE-GGA calculation of crystalline Pa2SiSn at its relaxed geometry, from Alexandria.

Geometry as POSCAR:
```
Pa2SiSn
1.0
4.2516 0.0000 0.0000
0.0000 4.6639 0.0000
0.0000 0.0000 4.6639
Si Pa Sn
1 2 1
direct
0.5000 0.0000 0.0000 Si
0.0000 0.0000 0.5000 Pa
0.0000 0.5000 0.0000 Pa
0.5000 0.5000 0.5000 Sn
```

Results
Spin magnetization = 1.214 μB/cell
Energy above the lowest structure with this stoichiometry = 12.5 kJ/mol of atoms
DFT total energy = -7.25 eV per atom
ΔE_f (raw) = -0.60 eV/f.u.


Record 2
The following is a PBE-GGA calculation of crystalline Fe2NiN2 at its relaxed geometry, from Alexandria.

Geometry as POSCAR:
```
Fe2NiN2
1.0
-0.6255 2.6280 -0.6262
-1.8391 0.0609 2.0926
8.4732 3.7650 7.3370
Fe Ni N
4 2 4
direct
0.5000 0.2605 0.8199 Fe
0.5000 0.2605 0.1801 Fe
0.0000 0.7395 0.6801 Fe
0.0000 0.7395 0.3199 Fe
0.5000 0.2368 0.5000 Ni
0.0000 0.7632 0.0000 Ni
0.5000 0.2459 0.3456 N
0.5000 0.2459 0.6544 N
0.0000 0.7541 0.1544 N
0.0000 0.7541 0.8456 N
```

Results
Spin magnetization = 3.779 μB/cell
DFT total energy = -7.73 eV per atom
ΔE_f (raw) = 0.72 eV/f.u.